# P2Cl

A PBEsol-optimized structure of P2Cl (meta-GGA SCAN, Alexandria via LeMat-Bulk).

Lattice parameters (Å, degrees): 3.8750 3.8750 4.5516 90.00 90.00 120.00
With the nearest neighbours (Å) after each atom.
Atoms (fractional coordinates):
Cl 0.0000 0.0000 0.0000  12 P 3.19
P 0.6667 0.3333 0.5000  3 P 2.24
P 0.3333 0.6667 0.5000  3 P 2.24

Summary:
The calculation puts the density at 2.7 Mg/m³. The value obtained for the density of states at the Fermi level is 1.8 states/eV per cell. The total energy is -27.14 eV for the cell shown. Its formation energy (no corrections) is 0.544 eV/atom. Its total magnetic moment is 0.00 μB per formula unit. The crystal system is hexagonal. As for the symmetry: No. 191.